# 1
Material: BaAlCu2Ge
Method: DFT, PBE-GGA
State: relaxed

Properties
Energy of formation from the pure elements, eV/atom: 1.57
Density of states at the Fermi level, states/eV/f.u.: 5.6
Calculated density, Mg/m³: 3.49
Spin magnetization, μB per atom: 0.000

a = 5.381 Å, b = 5.381 Å, c = 5.979 Å
α = 90.00°, β = 90.00°, γ = 90.00°
Space group P4/mmm (No. 123)
Inequivalent atoms, fractional coordinates:
Ba  0.000  0.000  0.000 (multiplicity 1)
Al  0.000  0.000  0.500 (multiplicity 1)
Cu  0.000  0.500  0.000 (multiplicity 2)
Ge  0.500  0.500  0.500 (multiplicity 1)



# 2
Material: BaIr2Rh
Method: DFT, PBE-GGA
State: relaxed

Properties
Energy of formation from the pure elements, eV/atom: 0.66
Relative energy among the computed polymorphs, kJ per mole of atoms: 66.78
Density of states at the Fermi level, states/eV/f.u.: 6.5
Calculated density, Mg/m³: 11.62
Spin magnetization, μB per atom: 0.377

a = 3.608 Å, b = 5.428 Å, c = 9.118 Å
α = 90.00°, β = 90.00°, γ = 90.00°
Space group Imm2 (No. 44)
Inequivalent atoms, fractional coordinates:
Ba  0.000  0.000  0.000 (multiplicity 2)
Ir  0.000  0.000  0.503 (multiplicity 2)
Ir  0.000  0.500  0.190 (multiplicity 2)
Rh  0.000  0.500  0.806 (multiplicity 2)